Entry 1:
A plane-wave DFT calculation with PBE was carried out for crystalline MoRu2Pt at its relaxed geometry.

E_form: 0.1895 eV per atom

Geometry as CIF:
```
data_MoRu2Pt
_chemical_formula_sum 'Mo1 Ru2 Pt1'
_space_group_name_H-M_alt 'P 4 m m'
_space_group_IT_number 99
_cell_length_a 3.320
_cell_length_b 3.320
_cell_length_c 5.528
_cell_angle_alpha 90.00
_cell_angle_beta 90.00
_cell_angle_gamma 90.00
loop_
_space_group_symop_operation_xyz
'x,y,z'
'-y,x,z'
'-x,-y,z'
'y,-x,z'
'-x,y,z'
'y,x,z'
'x,-y,z'
'-y,-x,z'
loop_
_atom_site_label
_atom_site_type_symbol
_atom_site_fract_x
_atom_site_fract_y
_atom_site_fract_z
Mo1 Mo 0.000 0.000 0.000
Ru1 Ru 0.000 0.000 0.541
Ru2 Ru 0.500 0.500 0.761
Pt1 Pt 0.500 0.500 0.269
```


Entry 2:
A plane-wave DFT calculation with PBE was carried out for crystalline Mo2RuPt2 at its relaxed geometry.

E_form: -0.0631 eV per atom

Geometry as CIF:
```
data_Mo2RuPt2
_chemical_formula_sum 'Mo8 Ru4 Pt8'
_space_group_name_H-M_alt 'C m c 21'
_space_group_IT_number 36
_cell_length_a 4.190
_cell_length_b 13.500
_cell_length_c 5.476
_cell_angle_alpha 90.00
_cell_angle_beta 90.00
_cell_angle_gamma 90.00
loop_
_space_group_symop_operation_xyz
'x,y,z'
'-x,-y,z+1/2'
'-x,y,z'
'x,-y,z+1/2'
'x+1/2,y+1/2,z'
'-x+1/2,-y+1/2,z+1/2'
'-x+1/2,y+1/2,z'
'x+1/2,-y+1/2,z+1/2'
loop_
_atom_site_label
_atom_site_type_symbol
_atom_site_fract_x
_atom_site_fract_y
_atom_site_fract_z
Mo1 Mo 0.000 0.106 0.000
Mo2 Mo 0.000 0.305 0.741
Ru1 Ru 0.000 0.109 0.481
Pt1 Pt 0.000 0.304 0.240
Pt2 Pt 0.000 0.497 0.750
```


Entry 3:
A plane-wave DFT calculation with PBE was carried out for crystalline MoRu2Pt2 at its relaxed geometry.

E_form: 0.3998 eV per atom

Geometry as CIF:
```
data_MoRu2Pt2
_chemical_formula_sum 'Mo1 Ru2 Pt2'
_space_group_name_H-M_alt 'P 1 2/m 1'
_space_group_IT_number 10
_cell_length_a 4.263
_cell_length_b 2.716
_cell_length_c 7.144
_cell_angle_alpha 90.00
_cell_angle_beta 97.69
_cell_angle_gamma 90.00
loop_
_space_group_symop_operation_xyz
'x,y,z'
'-x,-y,-z'
'-x,y,-z'
'x,-y,z'
loop_
_atom_site_label
_atom_site_type_symbol
_atom_site_fract_x
_atom_site_fract_y
_atom_site_fract_z
Mo1 Mo 0.000 0.000 0.000
Ru1 Ru 0.000 0.500 0.500
Ru2 Ru 0.500 0.000 0.500
Pt1 Pt 0.454 0.500 0.816
```


Entry 4:
A plane-wave DFT calculation with PBE was carried out for crystalline MoRu2Pt2 at its relaxed geometry.

E_form: 0.4838 eV per atom

Geometry as CIF:
```
data_MoRu2Pt2
_chemical_formula_sum 'Mo2 Ru4 Pt4'
_space_group_name_H-M_alt 'I 4/m m m'
_space_group_IT_number 139
_space_group_name_Hall '-I 4 2'
_cell_length_a 3.642
_cell_length_b 3.642
_cell_length_c 12.482
_cell_angle_alpha 90.00
_cell_angle_beta 90.00
_cell_angle_gamma 90.00
loop_
_atom_site_label
_atom_site_type_symbol
_atom_site_fract_x
_atom_site_fract_y
_atom_site_fract_z
Mo1 Mo 0.000 0.000 0.000
Ru1 Ru 0.000 0.000 0.406
Pt1 Pt 0.000 0.500 0.250
```


Entry 5:
A plane-wave DFT calculation with PBE was carried out for crystalline MoRu2Pt at its relaxed geometry.

E_form: -0.1525 eV per atom

Geometry as CIF:
```
data_MoRu2Pt
_chemical_formula_sum 'Mo1 Ru2 Pt1'
_space_group_name_H-M_alt 'P 4/m m m'
_space_group_IT_number 123
_space_group_name_Hall '-P 4 2'
_cell_length_a 3.917
_cell_length_b 3.917
_cell_length_c 3.820
_cell_angle_alpha 90.00
_cell_angle_beta 90.00
_cell_angle_gamma 90.00
loop_
_atom_site_label
_atom_site_type_symbol
_atom_site_fract_x
_atom_site_fract_y
_atom_site_fract_z
Mo1 Mo 0.000 0.000 0.000
Ru1 Ru 0.000 0.500 0.500
Pt1 Pt 0.500 0.500 0.000
```


Entry 6:
A plane-wave DFT calculation with PBE was carried out for crystalline MoRu2Pt at its relaxed geometry.

E_form: -0.0406 eV per atom

Geometry as CIF:
```
data_MoRu2Pt
_chemical_formula_sum 'Mo2 Ru4 Pt2'
_space_group_name_H-M_alt 'C 1 2/m 1'
_space_group_IT_number 12
_cell_length_a 9.104
_cell_length_b 2.746
_cell_length_c 4.814
_cell_angle_alpha 90.00
_cell_angle_beta 100.29
_cell_angle_gamma 90.00
loop_
_space_group_symop_operation_xyz
'x,y,z'
'-x,-y,-z'
'-x,y,-z'
'x,-y,z'
'x+1/2,y+1/2,z'
'-x+1/2,-y+1/2,-z'
'-x+1/2,y+1/2,-z'
'x+1/2,-y+1/2,z'
loop_
_atom_site_label
_atom_site_type_symbol
_atom_site_fract_x
_atom_site_fract_y
_atom_site_fract_z
Mo1 Mo 0.000 0.000 0.000
Ru1 Ru 0.245 0.500 0.238
Pt1 Pt 0.000 0.500 0.500
```


Entry 7:
A plane-wave DFT calculation with PBE was carried out for crystalline MoRuPt2S at its relaxed geometry.

formation energy without anion corrections: 3.73 eV/f.u.

Geometry as CIF:
```
data_MoRuPt2S
_chemical_formula_sum 'Mo1 Ru1 Pt2 S1'
_space_group_name_H-M_alt 'P 4/m m m'
_space_group_IT_number 123
_space_group_name_Hall '-P 4 2'
_cell_length_a 4.425
_cell_length_b 4.425
_cell_length_c 4.375
_cell_angle_alpha 90.00
_cell_angle_beta 90.00
_cell_angle_gamma 90.00
loop_
_atom_site_label
_atom_site_type_symbol
_atom_site_fract_x
_atom_site_fract_y
_atom_site_fract_z
Mo1 Mo 0.000 0.000 0.000
Ru1 Ru 0.500 0.500 0.000
Pt1 Pt 0.000 0.500 0.500
S1 S 0.000 0.000 0.500
```


Entry 8:
A plane-wave DFT calculation with PBE was carried out for crystalline Sb2MoRuPt at its relaxed geometry.

formation energy without anion corrections: 6.45 eV/f.u.

Geometry as CIF:
```
data_Sb2MoRuPt
_chemical_formula_sum 'Sb2 Mo1 Ru1 Pt1'
_space_group_name_H-M_alt 'P 4/m m m'
_space_group_IT_number 123
_space_group_name_Hall '-P 4 2'
_cell_length_a 5.115
_cell_length_b 5.115
_cell_length_c 4.846
_cell_angle_alpha 90.00
_cell_angle_beta 90.00
_cell_angle_gamma 90.00
loop_
_atom_site_label
_atom_site_type_symbol
_atom_site_fract_x
_atom_site_fract_y
_atom_site_fract_z
Sb1 Sb 0.000 0.500 0.000
Mo1 Mo 0.000 0.000 0.000
Ru1 Ru 0.500 0.500 0.500
Pt1 Pt 0.000 0.000 0.500
```


Entry 9:
A plane-wave DFT calculation with PBE was carried out for crystalline MoRu2PtSe at its relaxed geometry.

formation energy without anion corrections: 7.31 eV/f.u.

Geometry as CIF:
```
data_MoRu2PtSe
_chemical_formula_sum 'Mo1 Ru2 Pt1 Se1'
_space_group_name_H-M_alt 'P 4/m m m'
_space_group_IT_number 123
_space_group_name_Hall '-P 4 2'
_cell_length_a 4.665
_cell_length_b 4.665
_cell_length_c 4.730
_cell_angle_alpha 90.00
_cell_angle_beta 90.00
_cell_angle_gamma 90.00
loop_
_atom_site_label
_atom_site_type_symbol
_atom_site_fract_x
_atom_site_fract_y
_atom_site_fract_z
Mo1 Mo 0.000 0.000 0.000
Ru1 Ru 0.000 0.500 0.000
Pt1 Pt 0.500 0.500 0.500
Se1 Se 0.000 0.000 0.500
```


Entry 10:
A plane-wave DFT calculation with PBE was carried out for crystalline SrMoRu2Pt at its relaxed geometry.

E_form: 2.7253 eV per atom

Geometry as CIF:
```
data_SrMoRu2Pt
_chemical_formula_sum 'Sr1 Mo1 Ru2 Pt1'
_space_group_name_H-M_alt 'P 4/m m m'
_space_group_IT_number 123
_space_group_name_Hall '-P 4 2'
_cell_length_a 4.676
_cell_length_b 4.676
_cell_length_c 4.995
_cell_angle_alpha 90.00
_cell_angle_beta 90.00
_cell_angle_gamma 90.00
loop_
_atom_site_label
_atom_site_type_symbol
_atom_site_fract_x
_atom_site_fract_y
_atom_site_fract_z
Sr1 Sr 0.000 0.000 0.000
Mo1 Mo 0.500 0.500 0.500
Ru1 Ru 0.000 0.500 0.000
Pt1 Pt 0.000 0.000 0.500
```


Entry 11:
A plane-wave DFT calculation with PBE was carried out for crystalline TcMoRuPt at its relaxed geometry.

E_form: -0.1691 eV per atom

Geometry as CIF:
```
data_TcMoRuPt
_chemical_formula_sum 'Tc1 Mo1 Ru1 Pt1'
_space_group_name_H-M_alt 'P m m m'
_space_group_IT_number 47
_cell_length_a 3.854
_cell_length_b 3.895
_cell_length_c 3.947
_cell_angle_alpha 90.00
_cell_angle_beta 90.00
_cell_angle_gamma 90.00
loop_
_space_group_symop_operation_xyz
'x,y,z'
'-x,-y,-z'
'-x,-y,z'
'x,y,-z'
'x,-y,-z'
'-x,y,z'
'-x,y,-z'
'x,-y,z'
loop_
_atom_site_label
_atom_site_type_symbol
_atom_site_fract_x
_atom_site_fract_y
_atom_site_fract_z
Tc1 Tc 0.000 0.000 0.000
Mo1 Mo 0.500 0.500 0.000
Ru1 Ru 0.000 0.500 0.500
Pt1 Pt 0.500 0.000 0.500
```


Entry 12:
A plane-wave DFT calculation with PBE was carried out for crystalline TeMoRu2Pt at its relaxed geometry.

formation energy without anion corrections: 9.04 eV/f.u.

Geometry as CIF:
```
data_TeMoRu2Pt
_chemical_formula_sum 'Te1 Mo1 Ru2 Pt1'
_space_group_name_H-M_alt 'P 4/m m m'
_space_group_IT_number 123
_space_group_name_Hall '-P 4 2'
_cell_length_a 4.719
_cell_length_b 4.719
_cell_length_c 4.874
_cell_angle_alpha 90.00
_cell_angle_beta 90.00
_cell_angle_gamma 90.00
loop_
_atom_site_label
_atom_site_type_symbol
_atom_site_fract_x
_atom_site_fract_y
_atom_site_fract_z
Te1 Te 0.000 0.000 0.000
Mo1 Mo 0.000 0.000 0.500
Ru1 Ru 0.000 0.500 0.000
Pt1 Pt 0.500 0.500 0.500
```


Entry 13:
A plane-wave DFT calculation with PBE was carried out for crystalline VMoRu2Pt at its relaxed geometry.

E_form: 1.5987 eV per atom

Geometry as CIF:
```
data_VMoRu2Pt
_chemical_formula_sum 'V1 Mo1 Ru2 Pt1'
_space_group_name_H-M_alt 'P 4/m m m'
_space_group_IT_number 123
_space_group_name_Hall '-P 4 2'
_cell_length_a 4.574
_cell_length_b 4.574
_cell_length_c 4.826
_cell_angle_alpha 90.00
_cell_angle_beta 90.00
_cell_angle_gamma 90.00
loop_
_atom_site_label
_atom_site_type_symbol
_atom_site_fract_x
_atom_site_fract_y
_atom_site_fract_z
V1 V 0.000 0.000 0.000
Mo1 Mo 0.500 0.500 0.500
Ru1 Ru 0.000 0.500 0.500
Pt1 Pt 0.500 0.500 0.000
```


Entry 14:
A plane-wave DFT calculation with PBE was carried out for crystalline MoRuPtW at its relaxed geometry.

E_form: -0.1869 eV per atom

Geometry as CIF:
```
data_MoRuPtW
_chemical_formula_sum 'Mo1 Ru1 Pt1 W1'
_space_group_name_H-M_alt 'P m m m'
_space_group_IT_number 47
_cell_length_a 3.921
_cell_length_b 3.929
_cell_length_c 3.941
_cell_angle_alpha 90.00
_cell_angle_beta 90.00
_cell_angle_gamma 90.00
loop_
_space_group_symop_operation_xyz
'x,y,z'
'-x,-y,-z'
'-x,-y,z'
'x,y,-z'
'x,-y,-z'
'-x,y,z'
'-x,y,-z'
'x,-y,z'
loop_
_atom_site_label
_atom_site_type_symbol
_atom_site_fract_x
_atom_site_fract_y
_atom_site_fract_z
Mo1 Mo 0.000 0.000 0.000
Ru1 Ru 0.000 0.500 0.500
Pt1 Pt 0.500 0.000 0.500
W1 W 0.500 0.500 0.000
```


no.,total energy (eV/atom)
1,-8.67
2,-8.67
3,-7.89
4,-7.81
5,-9.01
6,-8.90
7,-6.52
8,-5.59
9,-6.32
10,-4.70
11,-9.30
12,-5.91
13,-7.31
14,-9.96